[1]
SnHg2SO6: relaxed, GGA-PBE.

Cell lengths 6.996, 7.333, 7.393 Å; angles 73.89, 66.66, 62.35 degrees
Atoms (fractional coordinates):
Sn 0.166 0.363 0.269
Sn 0.834 0.637 0.731
Hg 0.161 0.869 0.276
Hg 0.348 0.125 0.718
Hg 0.652 0.875 0.282
Hg 0.839 0.131 0.724
S 0.308 0.648 0.771
S 0.692 0.352 0.229
O 0.079 0.264 0.602
O 0.152 0.725 0.647
O 0.202 0.787 0.927
O 0.346 0.430 0.856
O 0.355 0.039 0.208
O 0.472 0.340 0.365
O 0.528 0.660 0.635
O 0.645 0.961 0.792
O 0.654 0.570 0.144
O 0.798 0.213 0.073
O 0.848 0.275 0.353
O 0.921 0.736 0.398

Values from the calculation:
As for the uncorrected energy: -4.7951 eV per atom. Its crystal system is triclinic. Its space group is P-1.

[2]
ReAsIr2: relaxed, GGA-PBE.

Cell lengths 4.403, 4.403, 4.403 Å; angles 60.00, 60.00, 60.00 degrees
Atoms (fractional coordinates):
Re 0.000 0.000 0.000
As 0.750 0.750 0.750
Ir 0.250 0.250 0.250
Ir 0.500 0.500 0.500

Values from the calculation:
As for the uncorrected energy: -8.3035 eV per atom. Its crystal system is cubic. Its space group is F-43m. As for the total moment: 0.0 Bohr magnetons per cell.

[3]
SrCuB2: relaxed, GGA-PBE.

Cell lengths 4.390, 4.390, 4.390 Å; angles 60.00, 60.00, 60.00 degrees
Atoms (fractional coordinates):
Sr 0.000 0.000 0.000
Cu 0.750 0.750 0.750
B 0.250 0.250 0.250
B 0.500 0.500 0.500

Values from the calculation:
As for the uncorrected energy: -3.3463 eV per atom. Its crystal system is cubic. Its space group is F-43m.

[4]
ThTaW: relaxed, GGA-PBE.

Cell lengths 4.699, 4.699, 4.699 Å; angles 60.00, 60.00, 60.00 degrees
Atoms (fractional coordinates):
Th 0.000 0.000 0.000
Ta 0.500 0.500 0.500
W 0.250 0.250 0.250

Values from the calculation:
The value obtained for the formation energy is 0.620 eV/atom. Its crystal system is cubic. Its space group is F-43m. As for the total moment: 0.0 Bohr magnetons per cell.

[5]
YMgNiAs: relaxed, GGA-PBE.

Cell lengths 4.712, 4.712, 4.712 Å; angles 60.00, 60.00, 60.00 degrees
Atoms (fractional coordinates):
Y 0.000 0.000 0.000
Mg 0.250 0.250 0.250
Ni 0.750 0.750 0.750
As 0.500 0.500 0.500

Values from the calculation:
As for the uncorrected energy: -4.7222 eV per atom. Its crystal system is cubic. Its space group is F-43m. As for the total moment: 0.0 Bohr magnetons per cell.

[6]
TlAuNO: relaxed, GGA-PBE.

Cell lengths 3.281, 5.986, 6.392 Å; angles 90.00, 90.00, 90.00 degrees
Atoms (fractional coordinates):
Tl 0.000 0.001 0.000
Tl 0.000 0.999 0.500
Au 0.500 0.483 0.750
Au 0.500 0.517 0.250
N 0.000 0.267 0.749
N 0.000 0.733 0.249
O 0.500 0.163 0.251
O 0.500 0.837 0.751

Values from the calculation:
Its energy relative to the lowest polymorph listed for this composition is 2.6 meV/atom. Its crystal system is orthorhombic. Its space group is Pmc2_1.